{"formula": "BaUTiS6", "functional": "PBE-GGA", "state": "relaxed", "formation_energy_uncorrected_ev_per_atom": -1.397, "sg": "P312, No. 149", "magnetic_moment_mub_per_cell": 0.000, "lattice": [[6.520, 0.000, 0.000], [3.260, 5.646, 0.000], [0.000, 0.000, 6.850]], "species": ["S", "S", "S", "S", "S", "S", "Ti", "U", "Ba"], "fractional_positions": [[0.987, 0.621, 0.713], [0.391, 0.987, 0.713], [0.621, 0.392, 0.713], [0.987, 0.392, 0.287], [0.391, 0.621, 0.287], [0.621, 0.987, 0.287], [0.667, 0.667, 0.500], [0.333, 0.333, 0.500], [0.000, 0.000, 0.000]]}



{"formula": "Al2SbOs", "functional": "PBE-GGA", "state": "relaxed", "dos_at_fermi_per_ev_fu": 1.86, "formation_energy_uncorrected_ev_per_atom": 0.207, "sg": "Cmmm, No. 65", "magnetic_moment_mub_per_cell": 0.000, "lattice": [[-0.994, -0.969, 4.587], [4.700, 0.721, -0.604], [-0.395, 3.039, 0.556]], "species": ["Al", "Al", "Sb", "Os"], "fractional_positions": [[0.000, 0.000, 0.000], [0.500, 0.500, 0.000], [0.000, 0.500, 0.500], [0.500, 0.000, 0.500]]}



- Number 1 is which compound?
  BaUTiS6



Copy entry 1 word for word.
{"formula": "BaUTiS6", "functional": "PBE-GGA", "state": "relaxed", "formation_energy_uncorrected_ev_per_atom": -1.397, "sg": "P312, No. 149", "magnetic_moment_mub_per_cell": 0.000, "lattice": [[6.520, 0.000, 0.000], [3.260, 5.646, 0.000], [0.000, 0.000, 6.850]], "species": ["S", "S", "S", "S", "S", "S", "Ti", "U", "Ba"], "fractional_positions": [[0.987, 0.621, 0.713], [0.391, 0.987, 0.713], [0.621, 0.392, 0.713], [0.987, 0.392, 0.287], [0.391, 0.621, 0.287], [0.621, 0.987, 0.287], [0.667, 0.667, 0.500], [0.333, 0.333, 0.500], [0.000, 0.000, 0.000]]}